(1)
A plane-wave DFT calculation with PBE was carried out for La3NdHo7 after structural relaxation.

a = 6.722 Å, b = 8.680 Å, c = 6.580 Å
α = 81.42°, β = 95.09°, γ = 80.45°
Fractional coordinates of all 11 atoms:
La1 0.060 0.838 0.199
La2 0.500 0.000 0.000
La3 0.940 0.162 0.801
Nd1 0.500 0.500 0.500
Ho1 0.777 0.214 0.279
Ho2 0.706 0.854 0.561
Ho3 0.267 0.419 0.013
Ho4 0.733 0.581 0.987
Ho5 0.000 0.500 0.500
Ho6 0.294 0.146 0.439
Ho7 0.223 0.786 0.721

- energy relative to the lowest polymorph listed for this composition (eV per atom) = 0.000
- formation energy from the elements (eV/atom) = 0.118
- volume (Å³/atom) = 33.8

***

(2)
A plane-wave DFT calculation with PBE was carried out for DyTiCoNi after structural relaxation.

a = 4.501 Å, b = 4.501 Å, c = 4.501 Å
α = 60.00°, β = 60.00°, γ = 60.00°
Fractional coordinates of all 4 atoms:
Ni1 0.000 0.000 0.000
Ti1 0.250 0.250 0.250
Co1 0.500 0.500 0.500
Dy1 0.750 0.750 0.750

- formation energy from the elements (eV/atom) = -0.178
- volume (Å³/atom) = 16.1

***

(3)
A plane-wave DFT calculation with PBE was carried out for NaSrCa2Cd after structural relaxation.

a = 6.073 Å, b = 6.073 Å, c = 6.306 Å
α = 90.00°, β = 90.00°, γ = 90.00°
Fractional coordinates of all 5 atoms:
Sr1 0.000 0.000 0.500
Ca1 0.000 0.500 0.000
Ca2 0.500 0.000 0.000
Na1 0.500 0.500 0.500
Cd1 0.000 0.000 0.000

- energy relative to the lowest polymorph listed for this composition (eV per atom) = 0.000
- formation energy from the elements (eV/atom) = 0.031
- volume (Å³/atom) = 46.5

***

(4)
A plane-wave DFT calculation with PBE was carried out for FeSeCl after structural relaxation.

a = 3.369 Å, b = 3.369 Å, c = 6.472 Å
α = 90.00°, β = 90.00°, γ = 120.00°
Fractional coordinates of all 3 atoms:
Fe1 0.667 0.333 0.339
Se1 0.333 0.667 0.542
Cl1 0.000 0.000 0.119

- formation energy from raw total energies (eV/atom) = -0.374
- volume (Å³/atom) = 21.2

***

(5)
A plane-wave DFT calculation with PBE was carried out for RbNb3I after structural relaxation.

a = 5.227 Å, b = 5.227 Å, c = 5.227 Å
α = 90.00°, β = 90.00°, γ = 90.00°
Fractional coordinates of all 5 atoms:
I1 0.000 0.000 0.000
Nb1 0.000 0.500 0.000
Nb2 0.000 0.000 0.500
Nb3 0.500 0.000 0.000
Rb1 0.500 0.500 0.500

- energy relative to the lowest polymorph listed for this composition (eV per atom) = 0.000
- formation energy from raw total energies (eV/atom) = 1.836
- volume (Å³/atom) = 28.6

***

(6)
A plane-wave DFT calculation with PBE was carried out for Sm8Te4As3Pb after structural relaxation.

a = 8.702 Å, b = 8.815 Å, c = 8.703 Å
α = 119.58°, β = 120.00°, γ = 90.00°
Fractional coordinates of all 16 atoms:
Sm1 0.248 0.728 0.980
Sm2 0.248 0.728 0.495
Sm3 0.260 0.281 0.521
Sm4 0.732 0.728 0.980
Sm5 0.268 0.272 0.020
Sm6 0.740 0.719 0.479
Sm7 0.752 0.272 0.505
Sm8 0.752 0.272 0.020
Te1 0.500 0.000 0.000
Te2 0.500 0.000 0.500
Te3 0.000 0.000 0.000
Te4 0.000 0.000 0.500
As1 0.500 0.500 0.000
As2 0.500 0.500 0.500
As3 0.000 0.500 0.500
Pb1 0.000 0.500 0.000

- formation energy from raw total energies (eV/atom) = -1.389
- volume (Å³/atom) = 29.7

***

(7)
A plane-wave DFT calculation with PBE was carried out for GeI2BrO after structural relaxation.

a = 6.171 Å, b = 6.171 Å, c = 3.821 Å
α = 90.00°, β = 90.00°, γ = 90.00°
Fractional coordinates of all 5 atoms:
I1 0.000 0.500 0.000
I2 0.500 0.000 0.000
Ge1 0.500 0.500 0.500
O1 0.000 0.000 0.500
Br1 0.000 0.000 0.000

- energy relative to the lowest polymorph listed for this composition (eV per atom) = 0.691
- formation energy from raw total energies (eV/atom) = 0.617
- volume (Å³/atom) = 29.1

***

(8)
A plane-wave DFT calculation with PBE was carried out for YVCo2 after structural relaxation.

a = 4.425 Å, b = 4.425 Å, c = 4.425 Å
α = 60.00°, β = 60.00°, γ = 60.00°
Fractional coordinates of all 4 atoms:
Y1 0.500 0.500 0.500
Co1 0.250 0.250 0.250
Co2 0.750 0.750 0.750
V1 0.000 0.000 0.000

- energy relative to the lowest polymorph listed for this composition (eV per atom) = 0.199
- formation energy from the elements (eV/atom) = 0.146
- volume (Å³/atom) = 15.3

***

(9)
A plane-wave DFT calculation with PBE was carried out for TbGaPt2 after structural relaxation.

a = 3.716 Å, b = 4.470 Å, c = 4.470 Å
α = 90.00°, β = 90.00°, γ = 90.00°
Fractional coordinates of all 4 atoms:
Tb1 0.500 0.500 0.500
Ga1 0.500 0.000 0.000
Pt1 0.000 0.000 0.500
Pt2 0.000 0.500 0.000

- formation energy from the elements (eV/atom) = -0.830
- volume (Å³/atom) = 18.6

***

(10)
A plane-wave DFT calculation with PBE was carried out for YFe4Os2 after structural relaxation.

a = 4.567 Å, b = 4.567 Å, c = 7.124 Å
α = 71.30°, β = 71.30°, γ = 90.00°
Fractional coordinates of all 7 atoms:
Y1 0.000 0.000 0.000
Os1 0.600 0.600 0.800
Os2 0.400 0.400 0.200
Fe1 0.782 0.782 0.436
Fe2 0.218 0.218 0.564
Fe3 0.000 0.500 0.000
Fe4 0.500 0.000 0.000

- formation energy from the elements (eV/atom) = 1.554
- volume (Å³/atom) = 18.9

***

(11)
A plane-wave DFT calculation with PBE was carried out for La2Nd3Cd4 after structural relaxation.

a = 6.983 Å, b = 8.516 Å, c = 10.129 Å
α = 90.00°, β = 110.16°, γ = 90.00°
Fractional coordinates of all 18 atoms:
La1 0.092 0.595 0.183
La2 0.908 0.405 0.817
La3 0.408 0.095 0.817
La4 0.592 0.905 0.183
Nd1 0.000 0.000 0.000
Nd2 0.500 0.500 0.000
Nd3 0.502 0.750 0.504
Nd4 0.998 0.250 0.496
Nd5 0.498 0.250 0.496
Nd6 0.002 0.750 0.504
Cd1 0.674 0.750 0.848
Cd2 0.826 0.250 0.152
Cd3 0.326 0.250 0.152
Cd4 0.174 0.750 0.848
Cd5 0.162 0.991 0.324
Cd6 0.838 0.009 0.676
Cd7 0.338 0.491 0.676
Cd8 0.662 0.509 0.324

- formation energy from the elements (eV/atom) = -0.164
- volume (Å³/atom) = 31.4

***

(12)
A plane-wave DFT calculation with PBE was carried out for YCu2Ni after structural relaxation.

a = 4.048 Å, b = 5.082 Å, c = 6.748 Å
α = 90.00°, β = 90.00°, γ = 113.47°
Fractional coordinates of all 8 atoms:
Y1 0.924 0.848 0.250
Y2 0.076 0.152 0.750
Cu1 0.363 0.725 0.560
Cu2 0.637 0.275 0.440
Cu3 0.363 0.725 0.940
Cu4 0.637 0.275 0.060
Ni1 0.787 0.574 0.750
Ni2 0.213 0.426 0.250

- energy relative to the lowest polymorph listed for this composition (eV per atom) = 0.000
- formation energy from the elements (eV/atom) = -0.260
- volume (Å³/atom) = 15.9